#w
NaSr2LiH: optimized geometry, GGA-PBE.

abc: 5.4874 5.4874 5.0610
angles: 90.00 90.00 90.00
Sites, in units of the cell vectors:
H1 0.0000 0.0000 0.0000
Li1 0.5000 0.5000 0.5000
Na1 0.0000 0.0000 0.5000
Sr1 0.5000 0.0000 0.0000
Sr2 0.0000 0.5000 0.0000

Results
Space group: P4/mmm (123)
DOS at the Fermi energy, states/eV/atom: 0.7008

***

#x
NaSr2LiH: optimized geometry, GGA-PBE.

abc: 5.7093 5.7093 4.6430
angles: 90.00 90.00 90.00
Sites, in units of the cell vectors:
Sr1 0.0000 0.5000 0.0000
Sr2 0.5000 0.0000 0.0000
Na1 0.5000 0.5000 0.5000
Li1 0.0000 0.0000 0.5000
H1 0.0000 0.0000 0.0000

Results
Space group: P4/mmm (123)
DOS at the Fermi energy, states/eV/atom: 0.5314

***

Which of them is the most stable, and which is the least stable? #w and #x, in that order.

***

#w
LiNbH2: optimized geometry, GGA-PBE.

abc: 4.9702 4.9702 4.6866
angles: 57.98 57.98 90.00
Sites, in units of the cell vectors:
Nb1 0.0000 0.0000 0.0000
H1 0.1327 0.6250 0.2500
H2 0.6173 0.1250 0.2500
Li1 0.5000 0.5000 0.0000
Li2 0.2500 0.7500 0.5000
H3 0.3750 0.3827 0.7500
Nb2 0.7500 0.2500 0.5000
H4 0.8750 0.8673 0.7500

Results
Space group: I-42d (122)
DOS at the Fermi energy, states/eV/atom: 0.2187

***

#x
LiNbH2: optimized geometry, GGA-PBE.

abc: 3.5694 3.5694 3.5694
angles: 60.00 60.00 60.00
Sites, in units of the cell vectors:
H1 0.7500 0.7500 0.7500
Li1 0.0000 0.0000 0.0000
Nb1 0.5000 0.5000 0.5000
H2 0.2500 0.2500 0.2500

Results
Space group: Fm-3m (225)
DOS at the Fermi energy, states/eV/atom: 0.2594

***

Which of them is the most stable, and which is the least stable? #w and #x, in that order.

***

#w
LiNb2H: optimized geometry, GGA-PBE.

abc: 4.1775 4.1775 4.1775
angles: 60.00 60.00 60.00
Sites, in units of the cell vectors:
H1 0.0000 0.0000 0.0000
Li1 0.5000 0.5000 0.5000
Nb1 0.7500 0.7500 0.7500
Nb2 0.2500 0.2500 0.2500

Results
Space group: Fm-3m (225)
DOS at the Fermi energy, states/eV/atom: 0.6175

***

#x
LiNb2H: optimized geometry, GGA-PBE.

abc: 5.8391 5.8391 5.7814
angles: 59.67 59.67 90.00
Sites, in units of the cell vectors:
Li1 0.0000 0.0000 0.0000
Nb1 0.4135 0.1250 0.2500
Nb2 0.3750 0.5865 0.7500
H1 0.5000 0.5000 0.0000
Nb3 0.3365 0.6250 0.2500
Li2 0.7500 0.2500 0.5000
Nb4 0.8750 0.6635 0.7500
H2 0.2500 0.7500 0.5000

Results
Space group: I-42d (122)
DOS at the Fermi energy, states/eV/atom: 0.7538

***

#y
LiNb2H: optimized geometry, GGA-PBE.

abc: 2.8877 2.8877 8.4409
angles: 80.15 80.15 60.00
Sites, in units of the cell vectors:
Li1 0.0000 0.0000 0.0000
Nb1 0.8872 0.8872 0.3383
Nb2 0.1128 0.1128 0.6617
H1 0.5000 0.5000 0.5000

Results
Space group: R-3m (166)
DOS at the Fermi energy, states/eV/atom: 0.9876

***

Which of them is the most stable, and which is the least stable? #y and #w, in that order.

***

#w
LiNbH3: optimized geometry, GGA-PBE.

abc: 3.7031 3.7031 3.7031
angles: 90.00 90.00 90.00
Last column: magnetic moment on the atom in μB.
Sites, in units of the cell vectors:
Li1 0.5000 0.5000 0.5000  0.01
H1 0.0000 0.0000 0.5000  -0.01
H2 0.0000 0.5000 0.0000  0.00
Nb1 0.0000 0.0000 0.0000  0.69
H3 0.5000 0.0000 0.0000  0.00

Results
Space group: Pm-3m (221)
DOS at the Fermi energy, states/eV/atom: 0.5646

***

#x
LiNbH3: optimized geometry, GGA-PBE.

abc: 3.2613 3.2613 3.2613
angles: 90.00 90.00 90.00
Sites, in units of the cell vectors:
H1 0.0000 0.5000 0.0000
Nb1 0.5000 0.5000 0.5000
H2 0.5000 0.0000 0.0000
H3 0.0000 0.0000 0.5000
Li1 0.0000 0.0000 0.0000

Results
Space group: Pm-3m (221)
DOS at the Fermi energy, states/eV/atom: 0.5232

***

Which of them is the most stable, and which is the least stable? #w and #x, in that order.

***

#w
LiNbHS: optimized geometry, GGA-PBE.

abc: 3.1784 3.1784 6.0344
angles: 90.00 90.00 120.00
Last column: magnetic moment on the atom in μB.
Sites, in units of the cell vectors:
S1 0.3333 0.6667 0.2959  0.01
Li1 0.0000 0.0000 0.5915  0.03
Nb1 0.6667 0.3333 0.0211  0.31
H1 0.3333 0.6667 0.8394  0.00

Results
Space group: P3m1 (156)
DOS at the Fermi energy, states/eV/atom: 0.4348

***

#x
LiNbHS: optimized geometry, GGA-PBE.

abc: 3.2589 3.2589 4.7798
angles: 90.00 90.00 90.00
Sites, in units of the cell vectors:
Nb1 0.0000 0.0000 0.7268
Li1 0.5000 0.5000 0.2484
H1 0.5000 0.5000 0.7243
S1 0.0000 0.0000 0.2262

Results
Space group: P4mm (99)
DOS at the Fermi energy, states/eV/atom: 0.1977

***

#y
LiNbHS: optimized geometry, GGA-PBE.

abc: 3.1265 3.2008 10.9372
angles: 90.00 90.47 90.00
Last column: magnetic moment on the atom in μB.
Sites, in units of the cell vectors:
H1 0.0131 0.5000 0.8495  0.00
Li1 0.0135 0.5000 0.4507  0.00
S1 0.0064 0.0000 0.6303  0.00
Nb1 0.5094 0.0000 0.2371  0.31
Nb2 0.5094 0.5000 0.7371  0.31
S2 0.0064 0.5000 0.1303  0.00
Li2 0.0135 0.0000 0.9507  0.00
H2 0.0131 0.0000 0.3495  0.00

Results
Space group: Cm (8)
DOS at the Fermi energy, states/eV/atom: 0.4783

***

#z
LiNbHS: optimized geometry, GGA-PBE.

abc: 3.2079 3.7259 4.6437
angles: 90.00 110.21 90.00
Sites, in units of the cell vectors:
Li1 0.2286 0.5000 0.2355
Nb1 0.5043 0.0000 0.7887
S1 0.7867 0.0000 0.3581
H1 0.4419 0.5000 0.7002

Results
Space group: Pm (6)
DOS at the Fermi energy, states/eV/atom: 0.5850

***

Which of them is the most stable, and which is the least stable? #w and #x, in that order.

***

#w
LiNdH: optimized geometry, GGA-PBE.

abc: 3.4163 3.4163 5.8586
angles: 90.00 90.00 120.00
Sites, in units of the cell vectors:
Nd1 0.6667 0.3333 0.4300
H1 0.3333 0.6667 0.6657
Li1 0.0000 0.0000 0.9042

Results
Space group: P3m1 (156)
DOS at the Fermi energy, states/eV/atom: 0.8716

***

#x
LiNdH: optimized geometry, GGA-PBE.

abc: 3.6214 3.6214 8.2253
angles: 90.00 90.00 90.00
Sites, in units of the cell vectors:
Li1 0.0000 0.5000 0.5834
Li2 0.5000 0.0000 0.4166
Nd1 0.5000 0.0000 0.8497
H1 0.0000 0.5000 0.8464
Nd2 0.0000 0.5000 0.1503
H2 0.5000 0.0000 0.1536

Results
Space group: P4/nmm (129)
DOS at the Fermi energy, states/eV/atom: 0.3687

***

Which of them is the most stable, and which is the least stable? #x and #w, in that order.

***

#w
LiNi2H3: optimized geometry, GGA-PBE.

abc: 3.6689 5.3509 8.0664
angles: 90.00 90.00 90.00
Sites, in units of the cell vectors:
Li1 0.7500 0.6230 0.5782
Ni1 0.2500 0.3564 0.7607
H1 0.2500 0.6797 0.5671
H2 0.2500 0.6332 0.2542
H3 0.7500 0.3668 0.7458
H4 0.7500 0.8668 0.7542
Ni2 0.2500 0.3753 0.0915
H5 0.7500 0.8827 0.3879
H6 0.2500 0.1332 0.2458
Li2 0.2500 0.8770 0.0782
H7 0.2500 0.6173 0.8879
Ni3 0.7500 0.1247 0.5915
H8 0.2500 0.1797 0.9329
Ni4 0.2500 0.8564 0.7393
Li3 0.2500 0.3770 0.4218
Ni5 0.2500 0.8753 0.4085
H9 0.7500 0.3203 0.4329
Ni6 0.7500 0.6247 0.9085
H10 0.2500 0.1173 0.6121
H11 0.7500 0.3827 0.1121
Li4 0.7500 0.1230 0.9218
Ni7 0.7500 0.6436 0.2393
Ni8 0.7500 0.1436 0.2607
H12 0.7500 0.8203 0.0671

Results
Space group: Pnma (62)
DOS at the Fermi energy, states/eV/atom: 0.1918

***

#x
LiNi2H3: optimized geometry, GGA-PBE.

abc: 4.9733 4.4262 4.4262
angles: 119.98 90.00 90.00
Sites, in units of the cell vectors:
Ni1 0.5000 0.1667 0.8333
H1 0.7500 0.4999 0.0016
Li1 0.2500 0.5002 0.5002
H2 0.7500 0.0016 0.4999
Ni2 0.5000 0.8333 0.1667
Ni3 0.0000 0.8333 0.1667
H3 0.2500 0.0021 0.0021
H4 0.2500 0.9984 0.5001
H5 0.7500 0.9979 0.9979
Ni4 0.0000 0.1667 0.8333
Li2 0.7500 0.4998 0.4998
H6 0.2500 0.5001 0.9984

Results
Space group: P6_3/mcm (193)
DOS at the Fermi energy, states/eV/atom: 0.3854

***

Which of them is the most stable, and which is the least stable? #w and #x, in that order.

***

#w
Li3NiH: optimized geometry, GGA-PBE.

abc: 3.8060 3.8060 3.8060
angles: 90.00 90.00 90.00
Sites, in units of the cell vectors:
Ni1 0.5000 0.5000 0.5000
H1 0.0000 0.0000 0.0000
Li1 0.0000 0.0000 0.5000
Li2 0.0000 0.5000 0.0000
Li3 0.5000 0.0000 0.0000

Results
Space group: Pm-3m (221)
DOS at the Fermi energy, states/eV/atom: 0.0000

***

#x
Li3NiH: optimized geometry, GGA-PBE.

abc: 4.5590 4.5590 4.5590
angles: 90.00 90.00 90.00
Sites, in units of the cell vectors:
Li1 0.0000 0.5000 0.0000
Li2 0.5000 0.0000 0.0000
Ni1 0.0000 0.0000 0.0000
H1 0.5000 0.5000 0.5000
Li3 0.0000 0.0000 0.5000

Results
Space group: Pm-3m (221)
DOS at the Fermi energy, states/eV/atom: 0.0000

***

Which of them is the most stable, and which is the least stable? #w and #x, in that order.

***

#w
Li2NiH: optimized geometry, GGA-PBE.

abc: 3.9817 3.9817 3.9817
angles: 60.00 60.00 60.00
Last column: magnetic moment on the atom in μB.
Sites, in units of the cell vectors:
Ni1 0.5000 0.5000 0.5000  0.26
Li1 0.7500 0.7500 0.7500  0.00
Li2 0.2500 0.2500 0.2500  0.00
H1 0.0000 0.0000 0.0000  0.01

Results
Space group: Fm-3m (225)
DOS at the Fermi energy, states/eV/atom: 0.7306

***

#x
Li2NiH: optimized geometry, GGA-PBE.

abc: 7.6606 7.6606 5.6476
angles: 47.30 47.30 90.00
Sites, in units of the cell vectors:
Li1 0.3750 0.5256 0.7500
Ni1 0.0000 0.0000 0.0000
Li2 0.2756 0.6250 0.2500
H1 0.5000 0.5000 0.0000
Li3 0.4744 0.1250 0.2500
H2 0.2500 0.7500 0.5000
Ni2 0.7500 0.2500 0.5000
Li4 0.8750 0.7244 0.7500

Results
Space group: I-42d (122)
DOS at the Fermi energy, states/eV/atom: 0.4864

***

Which of them is the most stable, and which is the least stable? #x and #w, in that order.

***

#w
LiNiH4: optimized geometry, GGA-PBE.

abc: 2.8979 2.8979 4.3987
angles: 90.00 90.00 90.00
Sites, in units of the cell vectors:
H1 0.0000 0.5000 0.6974
Ni1 0.5000 0.5000 0.5000
Li1 0.0000 0.0000 0.0000
H2 0.0000 0.5000 0.3026
H3 0.5000 0.0000 0.3026
H4 0.5000 0.0000 0.6974

Results
Space group: P4/mmm (123)
DOS at the Fermi energy, states/eV/atom: 0.3272

***

#x
LiNiH4: optimized geometry, GGA-PBE.

abc: 4.2351 4.4844 5.0318
angles: 90.89 65.11 90.00
Sites, in units of the cell vectors:
H1 0.6536 0.5562 0.1380
H2 0.3464 0.4438 0.8620
H3 0.7917 0.4438 0.8620
Ni1 0.5548 0.7391 0.8905
H4 0.2581 0.0000 0.0000
Ni2 0.4452 0.2609 0.1095
Li1 0.7498 0.2268 0.5004
H5 0.7267 0.7817 0.5466
H6 0.7419 0.0000 0.0000
H7 0.2083 0.5562 0.1380
H8 0.2733 0.2183 0.4534
Li2 0.2502 0.7732 0.4996

Results
Space group: C2/m (12)
DOS at the Fermi energy, states/eV/atom: 0.1251

***

Which of them is the most stable, and which is the least stable? #x and #w, in that order.

***

#w
LiNi2H2: optimized geometry, GGA-PBE.

abc: 5.3489 5.3489 2.6140
angles: 90.00 90.00 90.00
Sites, in units of the cell vectors:
Ni1 0.3394 0.1606 0.5000
Li1 0.5000 0.5000 0.0000
Li2 0.0000 0.0000 0.0000
H1 0.6971 0.1971 0.0000
H2 0.3029 0.8029 0.0000
Ni2 0.8394 0.3394 0.5000
Ni3 0.6606 0.8394 0.5000
Ni4 0.1606 0.6606 0.5000
H3 0.8029 0.6971 0.0000
H4 0.1971 0.3029 0.0000

Results
Space group: P4/mbm (127)
DOS at the Fermi energy, states/eV/atom: 0.2575

***

#x
LiNi2H2: optimized geometry, GGA-PBE.

abc: 3.1669 3.1669 4.6030
angles: 69.88 69.88 90.00
Sites, in units of the cell vectors:
Ni1 0.6688 0.6688 0.6623
Li1 0.0000 0.0000 0.0000
Ni2 0.3312 0.3312 0.3377
H1 0.7500 0.2500 0.5000
H2 0.2500 0.7500 0.5000

Results
Space group: I4/mmm (139)
DOS at the Fermi energy, states/eV/atom: 0.3738

***

Which of them is the most stable, and which is the least stable? #x and #w, in that order.